First-principles (PBE) data for a geometry-optimized CsFe3Sb structure, as listed in Alexandria via LeMat-Bulk.

Calculated values
total moment = 8.11 μB per formula unit
energy relative to the lowest polymorph listed for this composition = 1125 meV per atom

Cell: 4.9104 4.9104 4.9104 Å, 90.00 90.00 90.00°
Closest atoms and distances in Å follow each position.
Space group Pm-3m (No. 221)
Asymmetric unit:
Cs 0.0000 0.0000 0.0000 [1 per cell]  6 Fe 2.46
Fe 0.0000 0.0000 0.5000 [3 per cell]  2 Cs 2.46
Sb 0.5000 0.5000 0.5000 [1 per cell]  12 Fe 3.47